NaInSnCl6, relaxed, DFT PBE-GGA; E_form (uncorrected) = -1.21 eV per atom; total DFT energy (no corrections) = -3.338 eV per atom; density of states at the Fermi level = 0.0 states/eV per cell
1.0
6.890 0.000 0.000
-3.445 5.967 0.000
0.000 0.000 12.220
Na In Sn Cl
2 2 2 12
Direct
0.333 0.667 0.250
0.667 0.333 0.750
0.333 0.667 0.750
0.667 0.333 0.250
0.000 0.000 0.000
0.000 0.000 0.500
0.027 0.362 0.630
0.027 0.665 0.870
0.335 0.362 0.870
0.335 0.973 0.630
0.362 0.027 0.130
0.362 0.335 0.370
0.638 0.665 0.630
0.638 0.973 0.870
0.665 0.027 0.370
0.665 0.638 0.130
0.973 0.335 0.130
0.973 0.638 0.370

NaInSn2Cl8, relaxed, DFT PBE-GGA; E_form (uncorrected) = -1.15 eV per atom; total DFT energy (no corrections) = -3.388 eV per atom; density of states at the Fermi level = 0.0 states/eV per cell
1.0
6.425 0.000 0.000
0.000 8.238 0.000
-0.185 0.000 6.697
Na In Sn Cl
1 1 2 8
Direct
0.000 0.000 0.000
0.000 0.500 0.000
0.500 0.251 0.500
0.500 0.749 0.500
0.225 0.269 0.152
0.225 0.500 0.692
0.225 0.731 0.152
0.282 0.000 0.658
0.718 0.000 0.342
0.775 0.269 0.848
0.775 0.500 0.308
0.775 0.731 0.848

NaInSn2Cl6, relaxed, DFT PBE-GGA; E_form (uncorrected) = -1.13 eV per atom; total DFT energy (no corrections) = -3.441 eV per atom; density of states at the Fermi level = 0.0 states/eV per cell
1.0
7.194 0.000 0.000
3.361 6.862 0.000
3.525 2.140 6.673
Na In Sn Cl
1 1 2 6
Direct
0.000 0.000 0.000
0.462 0.546 0.483
0.175 0.402 0.185
0.667 0.920 0.710
0.064 0.662 0.867
0.300 0.161 0.621
0.419 0.731 0.047
0.627 0.180 0.864
0.880 0.668 0.371
0.893 0.213 0.276

NaSr2InCl8, relaxed, DFT PBE-GGA; E_form (uncorrected) = -1.88 eV per atom; total DFT energy (no corrections) = -3.726 eV per atom; density of states at the Fermi level = 0.0 states/eV per cell
1.0
6.434 0.000 0.000
0.000 8.703 0.000
-0.082 0.000 6.558
Na Sr In Cl
1 2 1 8
Direct
0.000 0.000 0.000
0.500 0.249 0.500
0.500 0.751 0.500
0.000 0.500 0.000
0.209 0.284 0.840
0.209 0.716 0.840
0.255 0.500 0.314
0.279 0.000 0.319
0.721 0.000 0.681
0.745 0.500 0.686
0.791 0.284 0.160
0.791 0.716 0.160

NaSr2InCl6, relaxed, DFT PBE-GGA; E_form (uncorrected) = -1.99 eV per atom; total DFT energy (no corrections) = -3.839 eV per atom; density of states at the Fermi level = 0.0 states/eV per cell
1.0
3.759 2.170 6.624
-3.759 2.170 6.624
0.000 -4.341 6.624
Na Sr In Cl
1 2 1 6
Direct
0.000 0.000 0.000
0.305 0.305 0.305
0.798 0.798 0.798
0.514 0.514 0.514
0.080 0.401 0.704
0.161 0.942 0.594
0.401 0.704 0.080
0.594 0.161 0.942
0.704 0.080 0.401
0.942 0.594 0.161

NaTaInCl6, relaxed, DFT PBE-GGA; E_form (uncorrected) = -1.28 eV per atom; total DFT energy (no corrections) = -4.279 eV per atom; density of states at the Fermi level = 13.1 states/eV per cell
1.0
6.989 0.000 0.000
-3.495 6.053 0.000
0.000 0.000 13.172
Na Ta In Cl
2 2 2 12
Direct
0.333 0.667 0.250
0.667 0.333 0.750
0.333 0.667 0.750
0.667 0.333 0.250
0.000 0.000 0.000
0.000 0.000 0.500
0.044 0.391 0.643
0.044 0.652 0.857
0.348 0.391 0.857
0.348 0.956 0.643
0.391 0.044 0.143
0.391 0.348 0.357
0.609 0.652 0.643
0.609 0.956 0.857
0.652 0.044 0.357
0.652 0.609 0.143
0.956 0.348 0.143
0.956 0.609 0.357

NaTbIn2Cl6, relaxed, DFT PBE-GGA; E_form (uncorrected) = -1.62 eV per atom; total DFT energy (no corrections) = -3.872 eV per atom; density of states at the Fermi level = 0.0 states/eV per cell
1.0
7.325 0.000 0.000
0.000 7.728 0.000
-7.189 0.000 10.564
Na Tb In Cl
2 2 4 12
Direct
0.000 0.000 0.000
0.000 0.500 0.500
0.500 0.000 0.500
0.500 0.500 0.000
0.226 0.070 0.744
0.226 0.430 0.244
0.774 0.570 0.756
0.774 0.930 0.256
0.159 0.189 0.457
0.159 0.311 0.957
0.262 0.713 0.449
0.262 0.787 0.949
0.355 0.028 0.257
0.355 0.472 0.757
0.645 0.528 0.243
0.645 0.972 0.743
0.738 0.213 0.051
0.738 0.287 0.551
0.841 0.689 0.043
0.841 0.811 0.543

Na2InTcCl, relaxed, DFT PBE-GGA; E_form (uncorrected) = 0.41 eV per atom; total DFT energy (no corrections) = -3.109 eV per atom; density of states at the Fermi level = 2.2 states/eV per cell
1.0
4.856 0.000 0.000
0.000 4.856 0.000
0.000 0.000 6.019
Na In Tc Cl
2 1 1 1
Direct
0.000 0.500 0.000
0.500 0.000 0.000
0.000 0.000 0.500
0.500 0.500 0.500
0.000 0.000 0.000

NaThInCl6, relaxed, DFT PBE-GGA; E_form (uncorrected) = -1.81 eV per atom; total DFT energy (no corrections) = -4.320 eV per atom; density of states at the Fermi level = 0.0 states/eV per cell
1.0
7.268 0.000 0.000
-3.634 6.294 0.000
0.000 0.000 13.667
Na Th In Cl
2 2 2 12
Direct
0.333 0.667 0.250
0.667 0.333 0.750
0.333 0.667 0.750
0.667 0.333 0.250
0.000 0.000 0.000
0.000 0.000 0.500
0.016 0.372 0.638
0.016 0.644 0.862
0.356 0.372 0.862
0.356 0.984 0.638
0.372 0.016 0.138
0.372 0.356 0.362
0.628 0.644 0.638
0.628 0.984 0.862
0.644 0.016 0.362
0.644 0.628 0.138
0.984 0.356 0.138
0.984 0.628 0.362

NaTiInCl6, relaxed, DFT PBE-GGA; E_form (uncorrected) = -1.45 eV per atom; total DFT energy (no corrections) = -4.011 eV per atom
1.0
6.897 0.000 0.000
-3.449 5.973 0.000
0.000 0.000 6.490
Na Ti In Cl
1 1 1 6
Direct
0.000 0.000 0.000
0.333 0.667 0.000
0.667 0.333 0.500
0.061 0.381 0.212
0.061 0.680 0.788
0.320 0.381 0.788
0.320 0.939 0.212
0.619 0.680 0.212
0.619 0.939 0.788

NaTiIn2Cl6, relaxed, DFT PBE-GGA; E_form (uncorrected) = -1.32 eV per atom; total DFT energy (no corrections) = -3.893 eV per atom; density of states at the Fermi level = 6.7 states/eV per cell
1.0
7.154 0.000 0.000
3.317 6.350 0.000
3.309 2.028 6.051
Na Ti In Cl
1 1 2 6
Direct
0.000 0.000 0.000
0.500 0.500 0.500
0.266 0.265 0.269
0.734 0.735 0.731
0.202 0.335 0.711
0.282 0.797 0.666
0.337 0.718 0.201
0.663 0.282 0.799
0.718 0.203 0.334
0.798 0.665 0.289

NaTl2In3Cl6, relaxed, DFT PBE-GGA; E_form (uncorrected) = -1.03 eV per atom; total DFT energy (no corrections) = -3.140 eV per atom; density of states at the Fermi level = 0.0 states/eV per cell
1.0
3.915 -6.698 0.000
3.915 6.698 0.000
-2.527 0.000 7.318
Na Tl In Cl
1 2 3 6
Direct
0.000 0.000 0.000
0.332 0.668 0.000
0.668 0.332 0.000
0.166 0.834 0.500
0.500 0.500 0.500
0.834 0.166 0.500
0.075 0.375 0.228
0.220 0.220 0.742
0.375 0.075 0.228
0.625 0.925 0.772
0.780 0.780 0.258
0.925 0.625 0.772